(1)
# Dy4HoTm7

An optimized crystal structure of Dy4HoTm7 (GGA-PBE, the Alexandria database).

The value obtained for the relative energy among the computed polymorphs is 0.000 eV/atom. The value obtained for the volume is 368.96 Å³/cell.

```
data_Dy4HoTm7
_cell_length_a 6.433
_cell_length_b 6.702
_cell_length_c 8.903
_cell_angle_alpha 85.13
_cell_angle_beta 76.79
_cell_angle_gamma 81.41
_symmetry_space_group_name_H-M 'P -1'
_symmetry_Int_Tables_number 2
_symmetry_space_group_name_Hall '-P 1'
loop_
_atom_site_label
_atom_site_fract_x
_atom_site_fract_y
_atom_site_fract_z
_atom_site_occupancy
Dy1 0.137 0.308 0.286 1
Dy2 0.338 0.882 0.691 1
Ho1 0.500 0.500 0.000 1
Tm1 0.015 0.251 0.950 1
Tm2 0.182 0.798 0.358 1
Tm3 0.312 0.391 0.614 1
Tm4 0.500 0.000 0.000 1
```



(2)
# NaLi5

An optimized crystal structure of NaLi5 (GGA-PBE, the Alexandria database).

The value obtained for the volume is 274.41 Å³/cell. The value obtained for the total DFT energy (no corrections) is -21.3 eV/cell.

```
data_NaLi5
_cell_length_a 5.155
_cell_length_b 15.403
_cell_length_c 3.456
_cell_angle_alpha 90.00
_cell_angle_beta 90.00
_cell_angle_gamma 90.00
_symmetry_space_group_name_H-M 'C m m m'
_symmetry_Int_Tables_number 65
_symmetry_space_group_name_Hall '-C 2 2'
loop_
_atom_site_label
_atom_site_fract_x
_atom_site_fract_y
_atom_site_fract_z
_atom_site_occupancy
Na1 0.000 0.000 0.000 1
Li1 0.000 0.179 0.500 1
Li2 0.000 0.336 0.000 1
Li3 0.000 0.500 0.500 1
```



(3)
# K2FeMoH

An optimized crystal structure of K2FeMoH (GGA-PBE, the Alexandria database).

The value obtained for the volume is 178.92 Å³/cell. The value obtained for the total DFT energy (no corrections) is -17.7 eV/cell.

```
data_K2FeMoH
_cell_length_a 6.356
_cell_length_b 6.356
_cell_length_c 4.429
_cell_angle_alpha 90.00
_cell_angle_beta 90.00
_cell_angle_gamma 90.00
_symmetry_space_group_name_H-M 'P 4/m m m'
_symmetry_Int_Tables_number 123
_symmetry_space_group_name_Hall '-P 4 2'
loop_
_atom_site_label
_atom_site_fract_x
_atom_site_fract_y
_atom_site_fract_z
_atom_site_occupancy
K1 0.000 0.500 0.000 1
Fe1 0.000 0.000 0.000 1
Mo1 0.000 0.000 0.500 1
H1 0.500 0.500 0.500 1
```



(4)
# Tb2ErMnS6

An optimized crystal structure of Tb2ErMnS6 (GGA-PBE, the Alexandria database).

The value obtained for the volume is 234.43 Å³/cell. The value obtained for the total DFT energy (no corrections) is -63.8 eV/cell.

```
data_Tb2ErMnS6
_cell_length_a 6.590
_cell_length_b 6.728
_cell_length_c 7.019
_cell_angle_alpha 62.16
_cell_angle_beta 89.87
_cell_angle_gamma 62.35
_symmetry_space_group_name_H-M 'P 1'
_symmetry_Int_Tables_number 1
_symmetry_space_group_name_Hall 'P 1'
loop_
_atom_site_label
_atom_site_fract_x
_atom_site_fract_y
_atom_site_fract_z
_atom_site_occupancy
Tb1 0.000 0.000 0.000 1
Tb2 0.495 0.003 0.509 1
Er1 0.704 0.583 0.114 1
Mn1 0.198 0.594 0.601 1
S1 0.095 0.492 0.340 1
S2 0.308 0.738 0.816 1
S3 0.409 0.747 0.343 1
S4 0.574 0.093 0.836 1
S5 0.822 0.089 0.322 1
S6 0.930 0.499 0.805 1
```